Computed, not measured: Mn2Ir after structural relaxation at the GGA-PBE level of DFT.

Cell: 3.415 3.415 13.507 Å, 90.00 90.00 90.00°
Space group I4_1/amd (No. 141, origin choice 2)
Unique sites:
Mn 0.000 0.250 0.293 x8
Ir 0.000 0.250 0.875 x4

Summary:
VASP energy, eV per atom: -8.5695
Volume, Å³/atom: 13.129
DOS at the Fermi energy, states/eV per atom: 1.60

***

Computed, not measured: Ho4Te5I after structural relaxation at the GGA-PBE level of DFT.

Cell: 9.001 10.784 7.567 Å, 90.00 90.00 90.00°
Space group Pmmn (No. 59, origin choice 2)
Unique sites:
Ho 0.042 0.250 0.048 x4
Ho 0.250 0.501 0.509 x4
Te 0.008 0.553 0.236 x8
Te 0.250 0.250 0.361 x2
I 0.250 0.750 0.719 x2

Summary:
VASP energy, eV per atom: -4.6813
Volume, Å³/atom: 36.729
Formation energy (no corrections), eV/f.u.: -11.24

***

Computed, not measured: KBaMg2Ru after structural relaxation at the GGA-PBE level of DFT.

Cell: 6.609 6.609 5.082 Å, 90.00 90.00 90.00°
Space group P4/mmm (No. 123)
Unique sites:
K 0.000 0.000 0.000 x1
Ba 0.500 0.500 0.500 x1
Mg 0.000 0.500 0.500 x2
Ru 0.500 0.500 0.000 x1

Summary:
VASP energy, eV per atom: -1.9598
Volume, Å³/atom: 44.395
DOS at the Fermi energy, states/eV per atom: 0.91

***

Computed, not measured: Pa2ZnPN6 after structural relaxation at the GGA-PBE level of DFT.

Cell: 5.090 5.090 4.726 Å, 90.00 90.00 90.00°
Space group P4mm (No. 99)
Unique sites:
Pa 0.000 0.500 0.000 x2
Zn 0.000 0.000 0.540 x1
P 0.500 0.500 0.571 x1
N 0.000 0.000 0.124 x1
N 0.272 0.272 0.702 x4
N 0.500 0.500 0.219 x1

Summary:
VASP energy, eV per atom: -8.1625
Volume, Å³/atom: 12.243
DOS at the Fermi energy, states/eV per atom: 0.43
Formation energy (no corrections), eV/f.u.: -6.00